# BAu2Se PBE relaxed
# - calculated volume (Å³/cell) = 271
# - formation energy without anion corrections (meV per atom) = 989
# - DFT total energy (eV/atom) = -3.1897
data_BAu2Se
_cell_length_a 6.4680
_cell_length_b 6.4680
_cell_length_c 6.4680
_cell_angle_alpha 90.00
_cell_angle_beta 90.00
_cell_angle_gamma 90.00
_symmetry_space_group_name_H-M 'F m -3 m'
_symmetry_Int_Tables_number 225
_symmetry_space_group_name_Hall '-F 4 2 3'
loop_
_atom_site_label
_atom_site_fract_x
_atom_site_fract_y
_atom_site_fract_z
B1 0.0000 0.0000 0.0000
Au1 0.2500 0.2500 0.2500
Se1 0.0000 0.0000 0.5000

# SrHg4Ir PBE relaxed
# - calculated volume (Å³/cell) = 562
# - DFT total energy (eV/atom) = -1.7524
# - energy of formation (meV/atom) = 206
data_SrHg4Ir
_cell_length_a 8.2511
_cell_length_b 8.2511
_cell_length_c 8.2511
_cell_angle_alpha 90.00
_cell_angle_beta 90.00
_cell_angle_gamma 90.00
_symmetry_space_group_name_H-M 'F -4 3 m'
_symmetry_Int_Tables_number 216
_symmetry_space_group_name_Hall 'F -4 2 3'
loop_
_atom_site_label
_atom_site_fract_x
_atom_site_fract_y
_atom_site_fract_z
Sr1 0.0000 0.0000 0.0000
Hg1 0.1241 0.1241 0.6241
Ir1 0.2500 0.2500 0.2500